Entry 1:
# KSrZn2Pt | Alexandria | PBE | relaxed
# ΔH_f (0 K)   -246.3 meV per atom
# Calculated volume   147 Å³ per cell
# Magnetization   0.00 μB/cell
# Theoretical density   5.12 g/cm3
data_KSrZn2Pt
_chemical_formula_sum 'K1 Sr1 Zn2 Pt1'
_space_group_name_H-M_alt 'P 4/m m m'
_space_group_IT_number 123
_space_group_name_Hall '-P 4 2'
_cell_length_a 5.107
_cell_length_b 5.107
_cell_length_c 5.623
_cell_angle_alpha 90.00
_cell_angle_beta 90.00
_cell_angle_gamma 90.00
loop_
_atom_site_label
_atom_site_type_symbol
_atom_site_fract_x
_atom_site_fract_y
_atom_site_fract_z
K1 K 0.000 0.000 0.000
Sr1 Sr 0.500 0.500 0.000
Zn1 Zn 0.000 0.500 0.500
Pt1 Pt 0.500 0.500 0.500

***

Entry 2:
# KTa2Pt | Alexandria | PBE | relaxed
# ΔH_f (0 K)   852.1 meV per atom
# Calculated volume   79 Å³ per cell
# Excess energy over the best structure of this formula in the dataset   0.644 eV per atom
# Magnetization   0.00 μB/cell
# Theoretical density   12.59 g/cm3
data_KTa2Pt
_chemical_formula_sum 'K1 Ta2 Pt1'
_space_group_name_H-M_alt 'P m m m'
_space_group_IT_number 47
_space_group_name_Hall '-P 2 2'
_cell_length_a 2.928
_cell_length_b 5.061
_cell_length_c 5.305
_cell_angle_alpha 90.00
_cell_angle_beta 90.00
_cell_angle_gamma 90.00
loop_
_atom_site_label
_atom_site_type_symbol
_atom_site_fract_x
_atom_site_fract_y
_atom_site_fract_z
K1 K 0.000 0.000 0.000
Ta1 Ta 0.000 0.500 0.500
Ta2 Ta 0.500 0.000 0.500
Pt1 Pt 0.500 0.500 0.000

***

Entry 3:
# KTaPt2 | Alexandria | PBE | relaxed
# ΔH_f (0 K)   199.2 meV per atom
# Calculated volume   232 Å³ per cell
# Excess energy over the best structure of this formula in the dataset   0.475 eV per atom
# Magnetization   0.00 μB/cell
# Theoretical density   13.13 g/cm3
data_KTaPt2
_chemical_formula_sum 'K3 Ta3 Pt6'
_space_group_name_H-M_alt 'R 3 m'
_space_group_IT_number 160
_space_group_name_Hall 'R 3 -2"'
_cell_length_a 2.9003
_cell_length_b 2.9003
_cell_length_c 31.7849
_cell_angle_alpha 90.00
_cell_angle_beta 90.00
_cell_angle_gamma 120.00
loop_
_atom_site_label
_atom_site_type_symbol
_atom_site_fract_x
_atom_site_fract_y
_atom_site_fract_z
K1 K 0.0000 0.0000 0.0000
Ta1 Ta 0.0000 0.0000 0.7716
Pt1 Pt 0.0000 0.0000 0.2486
Pt2 Pt 0.0000 0.0000 0.5064

***

Entry 4:
# KTaPt3 | Alexandria | PBE | relaxed
# ΔH_f (0 K)   378.4 meV per atom
# Calculated volume   125 Å³ per cell
# Excess energy over the best structure of this formula in the dataset   0.000 eV per atom
# Magnetization   0.00 μB/cell
# Theoretical density   10.70 g/cm3
data_KTaPt3
_chemical_formula_sum 'K1 Ta1 Pt3'
_space_group_name_H-M_alt 'P m -3 m'
_space_group_IT_number 221
_space_group_name_Hall '-P 4 2 3'
_cell_length_a 4.999
_cell_length_b 4.999
_cell_length_c 4.999
_cell_angle_alpha 90.00
_cell_angle_beta 90.00
_cell_angle_gamma 90.00
loop_
_atom_site_label
_atom_site_type_symbol
_atom_site_fract_x
_atom_site_fract_y
_atom_site_fract_z
K1 K 0.000 0.000 0.000
Ta1 Ta 0.500 0.500 0.500
Pt1 Pt 0.000 0.500 0.500

***

Entry 5:
# KTa2Pt | Alexandria | PBE | relaxed
# ΔH_f (0 K)   1025.4 meV per atom
# Calculated volume   159 Å³ per cell
# Excess energy over the best structure of this formula in the dataset   0.818 eV per atom
# Magnetization   0.00 μB/cell
# Theoretical density   12.42 g/cm3
data_KTa2Pt
_chemical_formula_sum 'K2 Ta4 Pt2'
_space_group_name_H-M_alt 'I 4/m m m'
_space_group_IT_number 139
_space_group_name_Hall '-I 4 2'
_cell_length_a 4.016
_cell_length_b 4.016
_cell_length_c 9.886
_cell_angle_alpha 90.00
_cell_angle_beta 90.00
_cell_angle_gamma 90.00
loop_
_atom_site_label
_atom_site_type_symbol
_atom_site_fract_x
_atom_site_fract_y
_atom_site_fract_z
K1 K 0.000 0.000 0.000
Ta1 Ta 0.000 0.500 0.250
Pt1 Pt 0.000 0.000 0.500

***

Entry 6:
# K2TaPt | Alexandria | PBE | relaxed
# ΔH_f (0 K)   781.8 meV per atom
# Calculated volume   185 Å³ per cell
# Excess energy over the best structure of this formula in the dataset   0.552 eV per atom
# Magnetization   0.00 μB/cell
# Theoretical density   8.16 g/cm3
data_K2TaPt
_chemical_formula_sum 'K4 Ta2 Pt2'
_space_group_name_H-M_alt 'C m m m'
_space_group_IT_number 65
_space_group_name_Hall '-C 2 2'
_cell_length_a 3.087
_cell_length_b 5.012
_cell_length_c 11.940
_cell_angle_alpha 90.00
_cell_angle_beta 90.00
_cell_angle_gamma 90.00
loop_
_atom_site_label
_atom_site_type_symbol
_atom_site_fract_x
_atom_site_fract_y
_atom_site_fract_z
K1 K 0.000 0.000 0.223
Ta1 Ta 0.000 0.500 0.500
Pt1 Pt 0.000 0.500 0.000

***

Entry 7:
# K2TaPt | Alexandria | PBE | relaxed
# ΔH_f (0 K)   768.4 meV per atom
# Calculated volume   277 Å³ per cell
# Excess energy over the best structure of this formula in the dataset   0.539 eV per atom
# Magnetization   0.96 μB/cell
# Theoretical density   8.18 g/cm3
data_K2TaPt
_chemical_formula_sum 'K6 Ta3 Pt3'
_space_group_name_H-M_alt 'R -3 m'
_space_group_IT_number 166
_space_group_name_Hall '-R 3 2"'
_cell_length_a 2.9920
_cell_length_b 2.9920
_cell_length_c 35.6753
_cell_angle_alpha 90.00
_cell_angle_beta 90.00
_cell_angle_gamma 120.00
loop_
_atom_site_label
_atom_site_type_symbol
_atom_site_fract_x
_atom_site_fract_y
_atom_site_fract_z
K1 K 0.0000 0.0000 0.2419
Ta1 Ta 0.0000 0.0000 0.0000
Pt1 Pt 0.0000 0.0000 0.5000

***

Entry 8:
# K2TaPt | Alexandria | PBE | relaxed
# ΔH_f (0 K)   771.4 meV per atom
# Calculated volume   91 Å³ per cell
# Excess energy over the best structure of this formula in the dataset   0.542 eV per atom
# Magnetization   0.00 μB/cell
# Theoretical density   8.33 g/cm3
data_K2TaPt
_chemical_formula_sum 'K2 Ta1 Pt1'
_space_group_name_H-M_alt 'P 1 2/m 1'
_space_group_IT_number 10
_space_group_name_Hall '-P 2y'
_cell_length_a 2.905
_cell_length_b 6.106
_cell_length_c 5.108
_cell_angle_alpha 90.00
_cell_angle_beta 91.88
_cell_angle_gamma 90.00
loop_
_atom_site_label
_atom_site_type_symbol
_atom_site_fract_x
_atom_site_fract_y
_atom_site_fract_z
K1 K 0.248 0.000 0.259
Ta1 Ta 0.500 0.500 0.000
Pt1 Pt 0.000 0.500 0.500

***

Entry 9:
# KTaPt3 | Alexandria | PBE | relaxed
# ΔH_f (0 K)   2316.4 meV per atom
# Calculated volume   109 Å³ per cell
# Excess energy over the best structure of this formula in the dataset   1.938 eV per atom
# Magnetization   0.00 μB/cell
# Theoretical density   12.28 g/cm3
data_KTaPt3
_chemical_formula_sum 'K1 Ta1 Pt3'
_space_group_name_H-M_alt 'P m -3 m'
_space_group_IT_number 221
_space_group_name_Hall '-P 4 2 3'
_cell_length_a 4.775
_cell_length_b 4.775
_cell_length_c 4.775
_cell_angle_alpha 90.00
_cell_angle_beta 90.00
_cell_angle_gamma 90.00
loop_
_atom_site_label
_atom_site_type_symbol
_atom_site_fract_x
_atom_site_fract_y
_atom_site_fract_z
K1 K 0.000 0.000 0.000
Ta1 Ta 0.500 0.500 0.500
Pt1 Pt 0.000 0.000 0.500

***

Entry 10:
# KTaPt2 | Alexandria | PBE | relaxed
# ΔH_f (0 K)   318.1 meV per atom
# Calculated volume   403 Å³ per cell
# Excess energy over the best structure of this formula in the dataset   0.593 eV per atom
# Magnetization   0.00 μB/cell
# Theoretical density   10.06 g/cm3
data_KTaPt2
_chemical_formula_sum 'K4 Ta4 Pt8'
_space_group_name_H-M_alt 'I -4 2 d'
_space_group_IT_number 122
_space_group_name_Hall 'I -4 2bw'
_cell_length_a 7.598
_cell_length_b 7.598
_cell_length_c 6.981
_cell_angle_alpha 90.00
_cell_angle_beta 90.00
_cell_angle_gamma 90.00
loop_
_atom_site_label
_atom_site_type_symbol
_atom_site_fract_x
_atom_site_fract_y
_atom_site_fract_z
K1 K 0.000 0.000 0.000
Ta1 Ta 0.000 0.000 0.500
Pt1 Pt 0.179 0.250 0.625

***

Entry 11:
# K3TaPt | Alexandria | PBE | relaxed
# ΔH_f (0 K)   1785.3 meV per atom
# Calculated volume   261 Å³ per cell
# Magnetization   4.53 μB/cell
# Theoretical density   3.14 g/cm3
data_K3TaPt
_chemical_formula_sum 'K3 Ta1 Pt1'
_space_group_name_H-M_alt 'P m -3 m'
_space_group_IT_number 221
_space_group_name_Hall '-P 4 2 3'
_cell_length_a 6.391
_cell_length_b 6.391
_cell_length_c 6.391
_cell_angle_alpha 90.00
_cell_angle_beta 90.00
_cell_angle_gamma 90.00
loop_
_atom_site_label
_atom_site_type_symbol
_atom_site_fract_x
_atom_site_fract_y
_atom_site_fract_z
K1 K 0.000 0.000 0.500
Ta1 Ta 0.000 0.000 0.000
Pt1 Pt 0.500 0.500 0.500

***

Entry 12:
# KTa3Pt | Alexandria | PBE | relaxed
# ΔH_f (0 K)   2811.1 meV per atom
# Calculated volume   94 Å³ per cell
# Excess energy over the best structure of this formula in the dataset   1.414 eV per atom
# Magnetization   0.00 μB/cell
# Theoretical density   13.78 g/cm3
data_KTa3Pt
_chemical_formula_sum 'K1 Ta3 Pt1'
_space_group_name_H-M_alt 'P m -3 m'
_space_group_IT_number 221
_space_group_name_Hall '-P 4 2 3'
_cell_length_a 4.541
_cell_length_b 4.541
_cell_length_c 4.541
_cell_angle_alpha 90.00
_cell_angle_beta 90.00
_cell_angle_gamma 90.00
loop_
_atom_site_label
_atom_site_type_symbol
_atom_site_fract_x
_atom_site_fract_y
_atom_site_fract_z
K1 K 0.000 0.000 0.000
Ta1 Ta 0.000 0.000 0.500
Pt1 Pt 0.500 0.500 0.500